# CdAsAu2 | Alexandria via LeMat-Bulk | GGA-PBEsol | optimized geometry
data_CdAsAu2
_space_group_name_H-M_alt 'P 1'
_space_group_IT_number 1
_space_group_name_Hall 'P 1'
_cell_length_a 2.9632
_cell_length_b 4.7131
_cell_length_c 5.6468
_cell_angle_alpha 101.14
_cell_angle_beta 90.00
_cell_angle_gamma 108.32
loop_
_atom_site_label
_atom_site_type_symbol
_atom_site_fract_x
_atom_site_fract_y
_atom_site_fract_z
As1 As 0.5000 0.0000 0.0000
Cd1 Cd 0.0000 0.0000 0.5000
Au1 Au 0.7492 0.4983 0.7553
Au2 Au 0.2508 0.5017 0.2447
# * energy above the most stable polymorph in this dataset: 24 meV/atom
# * calculated total energy: -3.481 eV/atom